! RbCoPtO6 | the Alexandria database | PBE+U | optimized geometry; values from VASP
&SYSTEM
  ibrav = 0, nat = 9, ntyp = 4
/
ATOMIC_SPECIES
Rb 85.47 Rb.upf
Co 58.93 Co.upf
Pt 195.08 Pt.upf
O 16.00 O.upf
CELL_PARAMETERS angstrom
-1.6416 -1.9162 -4.4443
3.3354 -1.0696 -3.6500
0.6822 -5.9833 2.2931
ATOMIC_POSITIONS crystal
Rb 0.0036 0.9982 0.0000
Co 0.3262 0.3369 0.5000
Pt 0.6725 0.6637 0.5000
O 0.0167 0.3745 0.3322
O 0.3596 0.0204 0.6576
O 0.6224 0.3635 0.6625
O 0.0166 0.6089 0.6677
O 0.3596 0.6200 0.3424
O 0.6224 0.0141 0.3374
! * spin magnetization: 4.029 μB per formula unit
! * symmetry: No. 5
! * VASP energy: -47.1 eV per cell